# MgAl2Pt

A geometry-optimized MgAl2Pt structure (PBE-GGA, the Alexandria database).

**Energy**: -16.9 eV/cell
**Formation energy**: -1.8 eV/f.u.

Cell: 2.944 3.869 5.686 Å, 90.00 90.00 90.00°
Fractional positions:
Mg  0.000  0.000  0.000
Al  0.500  0.500  0.265
Al  0.500  0.500  0.735
Pt  0.000  0.000  0.500